This record from the Alexandria database describes crystalline Ac8ZnPt6 at its relaxed geometry. The functional is PBE.

Calculated values
- space-group type = P-3, No. 147
- energy of formation (kcal/mol of atoms) = -20.1
- DFT total energy (eV/atom) = -5.57
- V (Å³/atom) = 35.4

Cell and atoms, written as POSCAR:
```
Ac8ZnPt6
1.0
-2.8884 -3.1269 1.5934
-7.0083 1.8477 -9.0779
8.3517 -8.0475 -0.6534
Ac Zn Pt
8 1 6
direct
0.7444 0.9693 0.3233
0.7444 0.6767 0.6460
0.2556 0.6460 0.9693
0.7496 0.3333 0.6667
0.2556 0.0307 0.6767
0.2556 0.3233 0.3540
0.2504 0.6667 0.3333
0.7444 0.3540 0.0307
0.5000 0.0000 0.0000
0.7528 0.4852 0.3365
0.7528 0.6635 0.1487
0.2472 0.1487 0.4852
0.7528 0.8513 0.5148
0.2472 0.5148 0.6635
0.2472 0.3365 0.8513
```